Computed, not measured: a relaxed structure of Tb4PrNd at the PBE-GGA level of DFT.

Cell lengths 6.9621, 6.9621, 9.8004 Å; angles 90.00, 90.00, 121.44 degrees
Fractional positions:
Tb: 0.1340 0.3384 0.7500
Tb: 0.1560 0.8440 0.5715
Tb: 0.1560 0.8440 0.9285
Tb: 0.3384 0.1340 0.2500
Tb: 0.6616 0.8660 0.7500
Tb: 0.8440 0.1560 0.0715
Tb: 0.8440 0.1560 0.4285
Tb: 0.8660 0.6616 0.2500
Pr: 0.5000 0.5000 0.0000
Pr: 0.5000 0.5000 0.5000
Nd: 0.3209 0.6791 0.2500
Nd: 0.6791 0.3209 0.7500

## Properties
Calculated volume = 33.775 A^3/atom
Relative energy among the computed polymorphs = 1.346 eV per formula unit
Crystal system = orthorhombic
Formation energy from the elements = 0.24 eV/atom
Total magnetic moment = 0.000 μB/atom

=====

Computed, not measured: a relaxed structure of CuC2Br at the PBE-GGA level of DFT.

Cell lengths 5.7448, 5.7448, 5.7448 Å; angles 90.00, 90.00, 90.00 degrees
Fractional positions:
Cu: 0.0000 0.0000 0.0000
Cu: 0.0000 0.5000 0.5000
Cu: 0.5000 0.0000 0.5000
Cu: 0.5000 0.5000 0.0000
C: 0.2500 0.2500 0.2500
C: 0.2500 0.2500 0.7500
C: 0.2500 0.7500 0.2500
C: 0.2500 0.7500 0.7500
C: 0.7500 0.2500 0.2500
C: 0.7500 0.2500 0.7500
C: 0.7500 0.7500 0.2500
C: 0.7500 0.7500 0.7500
Br: 0.0000 0.0000 0.5000
Br: 0.0000 0.5000 0.0000
Br: 0.5000 0.0000 0.0000
Br: 0.5000 0.5000 0.5000

## Properties
Calculated volume = 11.849 A^3/atom
Relative energy among the computed polymorphs = 3.420 eV per formula unit
Raw formation energy = 2938.5 meV/atom
Crystal system = cubic
Total magnetic moment = 0.000 μB/atom

=====

Computed, not measured: a relaxed structure of TcBr4Cl2 at the PBE-GGA level of DFT.

Cell lengths 5.0709, 5.0709, 16.2254 Å; angles 90.00, 90.00, 90.00 degrees
Fractional positions:
Tc: 0.0000 0.0000 0.0000
Tc: 0.5000 0.5000 0.5000
Br: 0.0000 0.0000 0.1485
Br: 0.0000 0.0000 0.8515
Br: 0.0000 0.5000 0.0000
Br: 0.0000 0.5000 0.5000
Br: 0.5000 0.0000 0.0000
Br: 0.5000 0.0000 0.5000
Br: 0.5000 0.5000 0.3515
Br: 0.5000 0.5000 0.6485
Cl: 0.0000 0.0000 0.3642
Cl: 0.0000 0.0000 0.6358
Cl: 0.5000 0.5000 0.1358
Cl: 0.5000 0.5000 0.8642

## Properties
Calculated volume = 29.801 A^3/atom
Raw formation energy = 161.4 meV/atom
Crystal system = tetragonal
Total magnetic moment = 0.070 μB/atom

=====

Computed, not measured: a relaxed structure of SiTeBrN2 at the PBE-GGA level of DFT.

Cell lengths 3.9352, 3.9352, 7.3912 Å; angles 90.00, 90.00, 90.00 degrees
Fractional positions:
Si: 0.0000 0.0000 0.0000
Te: 0.5000 0.5000 0.0000
Br: 0.5000 0.5000 0.5000
N: 0.0000 0.5000 0.5000
N: 0.5000 0.0000 0.5000

## Properties
Calculated volume = 22.892 A^3/atom
Relative energy among the computed polymorphs = 5.924 eV per formula unit
Raw formation energy = 2119.7 meV/atom
Crystal system = tetragonal
Total magnetic moment = 0.149 μB/atom